# 1
Entry from OQMD via LeMat-Bulk: an optimized crystal structure of Ta4CdGeC2 (PBE).

Lattice parameters (Å, degrees): 3.195 3.195 13.632 90.00 90.00 120.00
Sites, in units of the cell vectors:
1 Ta 0.000 0.000 0.148
2 Ta 0.000 0.000 0.852
3 Ta 0.333 0.667 0.321
4 Ta 0.333 0.667 0.679
5 Cd 0.000 0.000 0.500
6 Ge 0.333 0.667 0.000
7 C 0.667 0.333 0.237
8 C 0.667 0.333 0.763



# 2
Entry from OQMD via LeMat-Bulk: an optimized crystal structure of Zr3Ta2Pd2 (PBE).

Lattice parameters (Å, degrees): 7.199 7.199 7.199 38.82 38.82 38.82
Sites, in units of the cell vectors:
1 Zr 0.000 0.000 0.000
2 Zr 0.274 0.274 0.274
3 Zr 0.711 0.711 0.711
4 Ta 0.431 0.431 0.431
5 Ta 0.846 0.846 0.846
6 Pd 0.135 0.135 0.135
7 Pd 0.570 0.570 0.570



# 3
Entry from OQMD via LeMat-Bulk: an optimized crystal structure of Cs2TlIrCl6 (PBE).

Lattice parameters (Å, degrees): 7.595 7.595 7.595 60.00 60.00 60.00
Sites, in units of the cell vectors:
1 Cs 0.250 0.250 0.250
2 Cs 0.750 0.750 0.750
3 Tl 0.000 0.000 0.000
4 Ir 0.500 0.500 0.500
5 Cl 0.279 0.279 0.721
6 Cl 0.279 0.721 0.279
7 Cl 0.279 0.721 0.721
8 Cl 0.721 0.279 0.279
9 Cl 0.721 0.279 0.721
10 Cl 0.721 0.721 0.279



# 4
Entry from OQMD via LeMat-Bulk: an optimized crystal structure of BaCdRe2 (PBE).

Lattice parameters (Å, degrees): 6.949 6.949 6.949 90.00 90.00 90.00
Sites, in units of the cell vectors:
1 Ba 0.000 0.000 0.000
2 Ba 0.000 0.500 0.500
3 Ba 0.500 0.000 0.500
4 Ba 0.500 0.500 0.000
5 Cd 0.250 0.250 0.250
6 Cd 0.250 0.750 0.750
7 Cd 0.750 0.250 0.750
8 Cd 0.750 0.750 0.250
9 Re 0.000 0.000 0.500
10 Re 0.000 0.500 0.000
11 Re 0.250 0.250 0.750
12 Re 0.250 0.750 0.250
13 Re 0.500 0.000 0.000
14 Re 0.500 0.500 0.500
15 Re 0.750 0.250 0.250
16 Re 0.750 0.750 0.750



# 5
Entry from OQMD via LeMat-Bulk: an optimized crystal structure of AcCd (PBE).

Lattice parameters (Å, degrees): 5.192 5.192 8.489 90.00 90.00 120.00
Sites, in units of the cell vectors:
1 Ac 0.333 0.667 0.000
2 Ac 0.667 0.333 0.500
3 Cd 0.333 0.667 0.375
4 Cd 0.667 0.333 0.875



# 6
Entry from OQMD via LeMat-Bulk: an optimized crystal structure of NdDyZn (PBE).

Lattice parameters (Å, degrees): 7.099 7.099 7.099 90.00 90.00 90.00
Sites, in units of the cell vectors:
1 Nd 0.000 0.000 0.000
2 Nd 0.000 0.500 0.500
3 Nd 0.500 0.000 0.500
4 Nd 0.500 0.500 0.000
5 Dy 0.000 0.000 0.500
6 Dy 0.000 0.500 0.000
7 Dy 0.500 0.000 0.000
8 Dy 0.500 0.500 0.500
9 Zn 0.250 0.250 0.750
10 Zn 0.250 0.750 0.250
11 Zn 0.750 0.250 0.250
12 Zn 0.750 0.750 0.750



Total magnetization, record by record: 0.004 0.030 0.000 0.049 1.190 0.208 μB per cell
DFT total energy, record by record: -9.321 -8.631 -3.624 -5.543 -1.975 -3.518 eV per atom